## Ce5IrPb5 (GGA-PBE)

Data for an optimized crystal structure of Ce5IrPb5.

Values from the calculation:
* DOS(E_F): 2.386 states/eV per atom
* magnetic moment: 3.64 μB/cell
* volume: 325 Å³ per cell
* VASP energy: -5.523 eV/atom
* calculated formation energy: -3.69 eV per formula unit
* space-group type: No. 12

a b c (Å): 9.631 9.631 6.626
angles (deg): 110.08 110.08 34.58
Element x y z (fractional)
Ce 0.000 0.000 0.000
Ce 0.349 0.349 0.066
Ce 0.349 0.349 0.632
Ce 0.651 0.651 0.368
Ce 0.651 0.651 0.934
Ir 0.500 0.500 0.000
Pb 0.142 0.142 0.642
Pb 0.190 0.190 0.190
Pb 0.500 0.500 0.500
Pb 0.810 0.810 0.810
Pb 0.858 0.858 0.358

## Er2Tm2Mg5Sc (GGA-PBE)

Data for an optimized crystal structure of Er2Tm2Mg5Sc.

Values from the calculation:
* DOS(E_F): 0.777 states/eV per atom
* magnetic moment: 0.00 μB/cell
* volume: 536 Å³ per cell
* VASP energy: -3.121 eV/atom
* calculated formation energy: 1.16 eV per formula unit
* space-group type: No. 127

a b c (Å): 10.448 10.448 4.915
angles (deg): 90.00 90.00 90.00
Element x y z (fractional)
Er 0.177 0.323 0.000
Er 0.323 0.823 0.000
Er 0.677 0.177 0.000
Er 0.823 0.677 0.000
Tm 0.119 0.619 0.000
Tm 0.381 0.119 0.000
Tm 0.619 0.881 0.000
Tm 0.881 0.381 0.000
Mg 0.000 0.500 0.500
Mg 0.073 0.807 0.500
Mg 0.193 0.073 0.500
Mg 0.307 0.573 0.500
Mg 0.427 0.307 0.500
Mg 0.500 0.000 0.500
Mg 0.573 0.693 0.500
Mg 0.693 0.427 0.500
Mg 0.807 0.927 0.500
Mg 0.927 0.193 0.500
Sc 0.000 0.000 0.000
Sc 0.500 0.500 0.000

## Pr3NdCl (GGA-PBE)

Data for an optimized crystal structure of Pr3NdCl.

Values from the calculation:
* DOS(E_F): 1.016 states/eV per atom
* magnetic moment: 0.00 μB/cell
* volume: 171 Å³ per cell
* VASP energy: -4.703 eV/atom
* space-group type: No. 221

a b c (Å): 5.545 5.545 5.545
angles (deg): 90.00 90.00 90.00
Element x y z (fractional)
Pr 0.000 0.000 0.500
Pr 0.000 0.500 0.000
Pr 0.500 0.000 0.000
Nd 0.500 0.500 0.500
Cl 0.000 0.000 0.000

## RbCe2IO8 (GGA-PBE)

Data for an optimized crystal structure of RbCe2IO8.

Values from the calculation:
* DOS(E_F): 0.000 states/eV per atom
* magnetic moment: 0.00 μB/cell
* volume: 208 Å³ per cell
* VASP energy: -6.415 eV/atom
* space-group type: No. 12

a b c (Å): 5.313 5.313 7.603
angles (deg): 98.35 98.35 80.12
Element x y z (fractional)
Rb 0.000 0.000 0.000
Ce 0.453 0.453 0.765
Ce 0.547 0.547 0.235
I 0.000 0.000 0.500
O 0.185 0.790 0.320
O 0.210 0.815 0.680
O 0.237 0.237 0.533
O 0.346 0.346 0.998
O 0.654 0.654 0.002
O 0.763 0.763 0.467
O 0.790 0.185 0.320
O 0.815 0.210 0.680

## NiTe2As (GGA-PBE)

Data for an optimized crystal structure of NiTe2As.

Values from the calculation:
* DOS(E_F): 0.283 states/eV per atom
* magnetic moment: 0.00 μB/cell
* volume: 97 Å³ per cell
* VASP energy: -3.973 eV/atom
* space-group type: No. 99

a b c (Å): 3.619 3.619 7.383
angles (deg): 90.00 90.00 90.00
Element x y z (fractional)
Ni 0.000 0.000 0.000
Te 0.000 0.000 0.643
Te 0.500 0.500 0.198
As 0.500 0.500 0.837

## CoNiBr2 (GGA-PBE)

Data for an optimized crystal structure of CoNiBr2.

Values from the calculation:
* DOS(E_F): 1.800 states/eV per atom
* excess energy over the best structure of this formula in the dataset: 401 meV/atom
* magnetic moment: 1.24 μB/cell
* volume: 85 Å³ per cell
* VASP energy: -3.604 eV/atom
* space-group type: No. 65

a b c (Å): 3.846 3.846 7.219
angles (deg): 90.00 90.00 127.13
Element x y z (fractional)
Co 0.000 0.000 0.000
Ni 0.000 0.000 0.500
Br 0.500 0.500 0.254
Br 0.500 0.500 0.746

## Ba3CrCd (GGA-PBE)

Data for an optimized crystal structure of Ba3CrCd.

Values from the calculation:
* DOS(E_F): 0.929 states/eV per atom
* excess energy over the best structure of this formula in the dataset: 0 meV/atom
* magnetic moment: 4.74 μB/cell
* volume: 285 Å³ per cell
* VASP energy: -2.721 eV/atom
* calculated formation energy: 2.70 eV per formula unit
* space-group type: No. 221

a b c (Å): 6.583 6.583 6.583
angles (deg): 90.00 90.00 90.00
Element x y z (fractional)
Ba 0.000 0.000 0.500
Ba 0.000 0.500 0.000
Ba 0.500 0.000 0.000
Cr 0.500 0.500 0.500
Cd 0.000 0.000 0.000

## Dy7Er2Th2 (GGA-PBE)

Data for an optimized crystal structure of Dy7Er2Th2.

Values from the calculation:
* DOS(E_F): 1.530 states/eV per atom
* excess energy over the best structure of this formula in the dataset: 0 meV/atom
* magnetic moment: 0.00 μB/cell
* volume: 353 Å³ per cell
* VASP energy: -4.928 eV/atom
* calculated formation energy: 1.97 eV per formula unit
* space-group type: No. 12

a b c (Å): 7.950 7.950 6.085
angles (deg): 105.96 105.96 91.49
Element x y z (fractional)
Dy 0.000 0.000 0.000
Dy 0.062 0.588 0.827
Dy 0.235 0.235 0.583
Dy 0.412 0.938 0.173
Dy 0.588 0.062 0.827
Dy 0.765 0.765 0.417
Dy 0.938 0.412 0.173
Er 0.218 0.782 0.500
Er 0.782 0.218 0.500
Th 0.419 0.419 0.194
Th 0.581 0.581 0.806

## Ac4Pr3Rh4 (GGA-PBE)

Data for an optimized crystal structure of Ac4Pr3Rh4.

Values from the calculation:
* DOS(E_F): 0.705 states/eV per atom
* magnetic moment: 0.00 μB/cell
* volume: 328 Å³ per cell
* VASP energy: -5.897 eV/atom
* calculated formation energy: -4.69 eV per formula unit
* space-group type: No. 71

a b c (Å): 9.407 9.407 9.407
angles (deg): 154.06 114.29 71.91
Element x y z (fractional)
Ac 0.041 0.847 0.194
Ac 0.347 0.153 0.194
Ac 0.653 0.847 0.806
Ac 0.959 0.153 0.806
Pr 0.000 0.500 0.500
Pr 0.385 0.385 0.000
Pr 0.615 0.615 0.000
Rh 0.204 0.704 0.500
Rh 0.361 0.000 0.361
Rh 0.639 0.000 0.639
Rh 0.796 0.296 0.500

Question: The lowest VASP energy belongs to which entry?
Answer: RbCe2IO8

Question: Among the records above, which one has the highest VASP energy?
Answer: Ba3CrCd